Below is CoCl2F2 after structural relaxation, with properties calculated at the PBE with a Hubbard U level.

Computed properties:
The density of states at the Fermi level is 0.00 states/eV/f.u. The space group is P4/mbm, No. 127. The value obtained for the total energy is -3.4832 eV/atom.

Lattice parameters (Å, degrees): 5.528 5.528 6.819 90.00 90.00 90.00
Element x y z (fractional)
Co (0.000, 0.000, 0.000)
Co (0.500, 0.500, 0.000)
Cl (0.128, 0.372, 0.500)
Cl (0.372, 0.872, 0.500)
Cl (0.628, 0.128, 0.500)
Cl (0.872, 0.628, 0.500)
F (0.241, 0.741, 0.000)
F (0.259, 0.241, 0.000)
F (0.741, 0.759, 0.000)
F (0.759, 0.259, 0.000)